1.
# Tl2VCl5

An optimized crystal structure of Tl2VCl5 (PBE, the Alexandria database).

Output
* E_form (uncorrected): -1.077 eV per atom
* calculated total energy: -126.8 eV/cell
* E above lowest polymorph: 15 meV per atom
* total magnetization: 8.00 Bohr magnetons per cell

a b c (Å): 4.8514 16.7766 13.3737
angles (deg): 90.00 90.00 90.00
Closest atoms and distances in Å follow each position.
Space group Cmcm (No. 63)
One atom of each set of equivalent atoms:
Tl (0.0000, 0.1392, 0.0738)  5 Cl 3.06-3.24
V (0.0000, 0.1474, 0.7500)  6 Cl 2.34-2.44
Cl (0.0000, 0.0494, 0.6250)  1 V 2.34
Cl (0.0000, 0.2495, 0.6203)  1 V 2.44
Cl (0.0000, 0.3433, 0.2500)  2 V 2.43

2.
# TlV2Cl8

An optimized crystal structure of TlV2Cl8 (PBE, the Alexandria database).

Output
* E_form (uncorrected): -1.137 eV per atom
* calculated total energy: -95.8 eV/cell
* total magnetization: 6.00 Bohr magnetons per cell

a b c (Å): 13.3707 7.5390 7.9430
angles (deg): 90.00 106.55 90.00
Closest atoms and distances in Å follow each position.
Space group C2/m (No. 12)
One atom of each set of equivalent atoms:
Tl (0.0000, 0.0000, 0.0000)  6 Cl 3.30-3.35
V (0.2014, 0.0000, 0.6863)  4 Cl 2.18-2.19
Cl (0.1274, 0.2286, 0.7725)  1 V 2.19
Cl (0.1311, 0.5000, 0.1875)  1 V 2.18
Cl (0.1716, 0.0000, 0.4003)  1 V 2.19